[1]
Computed, not measured: a PBEsol-optimized structure of CaIn3 at the meta-GGA SCAN level of DFT.

Properties
Space group ... Cmmm

abc: 3.811 3.811 7.163
angles: 90.00 90.00 90.12
Sites, in units of the cell vectors:
1 Ca 0.000 0.000 0.000
2 In 0.000 0.000 0.500
3 In 0.500 0.500 0.276
4 In 0.500 0.500 0.724

[2]
Computed, not measured: a PBEsol-optimized structure of KMo2PBr at the meta-GGA SCAN level of DFT.

Properties
Space group ... P4/mmm
Energy relative to the elements, uncorrected ... 2534 meV per atom

abc: 5.500 5.500 5.153
angles: 90.00 90.00 90.00
Sites, in units of the cell vectors:
1 K 0.000 0.000 0.000
2 Mo 0.000 0.500 0.000
3 Mo 0.500 0.000 0.000
4 P 0.000 0.000 0.500
5 Br 0.500 0.500 0.500

[3]
Computed, not measured: a PBEsol-optimized structure of LaY3H at the meta-GGA SCAN level of DFT.

Properties
Space group ... Pm-3m

abc: 4.986 4.986 4.986
angles: 90.00 90.00 90.00
Sites, in units of the cell vectors:
1 La 0.000 0.000 0.000
2 Y 0.000 0.500 0.500
3 Y 0.500 0.000 0.500
4 Y 0.500 0.500 0.000
5 H 0.500 0.500 0.500

| no. | theoretical density (g/cm³) | E (eV per formula unit) |
| --- | --- | --- |
| 1 | 6.14 | -111.1 |
| 2 | 3.64 | -95.3 |
| 3 | 5.45 | -130.9 |